Entry 1:
Below is a relaxed structure of HgSe2Cl, with properties calculated at the PBE level.

Cell lengths 4.9619, 4.9619, 4.9619 Å; angles 60.00, 60.00, 60.00 degrees
Last column: nearest neighbours and their distance in Å.
Sites, in units of the cell vectors:
Se1 0.2500 0.2500 0.2500  4 Hg 3.04, 4 Cl 3.04
Se2 0.7500 0.7500 0.7500  4 Hg 3.04, 4 Cl 3.04
Cl1 0.0000 0.0000 0.0000  8 Se 3.04
Hg1 0.5000 0.5000 0.5000  8 Se 3.04

Calculated values
* formation energy (no corrections): 0.47 eV/atom
* total magnetization: 0.00 μB per formula unit
* space group: Fm-3m
* polymorph energy (0 for the lowest one): 616 meV per atom

Entry 2:
Below is a relaxed structure of HgSe2Cl, with properties calculated at the PBE level.

Cell lengths 2.7374, 2.7374, 14.6436 Å; angles 90.00, 90.00, 90.00 degrees
Last column: nearest neighbours and their distance in Å.
Sites, in units of the cell vectors:
Hg1 0.5000 0.5000 0.7500  4 Hg 2.74
Se1 0.0000 0.0000 0.9825  4 Se 2.74
Se2 0.0000 0.0000 0.5175  4 Se 2.74
Cl1 0.5000 0.5000 0.2500  4 Cl 2.74

Calculated values
* formation energy (no corrections): 0.25 eV/atom
* total magnetization: 0.00 μB per formula unit
* space group: P4/mmm
* polymorph energy (0 for the lowest one): 404 meV per atom

Entry 3:
Below is a relaxed structure of Hg2SeCl, with properties calculated at the PBE level.

Cell lengths 3.6139, 3.6139, 7.3131 Å; angles 90.00, 90.00, 90.00 degrees
Last column: nearest neighbours and their distance in Å.
Sites, in units of the cell vectors:
Cl1 0.5000 0.5000 0.7500  8 Hg 3.23, 4 Cl 3.61
Hg1 0.0000 0.0000 0.0199  4 Se 3.06, 4 Cl 3.23, 1 Hg 3.36
Hg2 0.0000 0.0000 0.4801  4 Se 3.06, 4 Cl 3.23, 1 Hg 3.36
Se1 0.5000 0.5000 0.2500  8 Hg 3.06

Calculated values
* formation energy (no corrections): 0.07 eV/atom
* total magnetization: 0.00 μB per formula unit
* space group: P4/mmm
* polymorph energy (0 for the lowest one): 308 meV per atom

Entry 4:
Below is a relaxed structure of Hg12Se5Cl3, with properties calculated at the PBE level.

Cell lengths 14.7785, 14.7785, 14.7785 Å; angles 109.47, 109.47, 109.47 degrees
Last column: nearest neighbours and their distance in Å.
Sites, in units of the cell vectors:
Hg1 0.8582 0.5805 0.9133  2 Se 2.77-2.89, 1 Cl 3.09
Hg2 0.7777 0.3328 0.9195  2 Se 2.77-2.89, 1 Cl 3.09
Hg3 0.4133 0.0550 0.3328  2 Se 2.77-2.89, 1 Cl 3.09
Hg4 0.0867 0.1672 0.4450  2 Se 2.77-2.89, 1 Cl 3.09
Hg5 0.5550 0.3328 0.9133  2 Se 2.77-2.89, 1 Cl 3.09
Hg6 0.8328 0.9195 0.2777  2 Se 2.77-2.89, 1 Cl 3.09
Hg7 0.2777 0.8582 0.9450  2 Se 2.77-2.89, 1 Cl 3.09
Hg8 0.9195 0.8328 0.7777  2 Se 2.77-2.89, 1 Cl 3.09
Hg9 0.2223 0.6672 0.0805  2 Se 2.77-2.89, 1 Cl 3.09
Hg10 0.2777 0.4195 0.8328  2 Se 2.77-2.89, 1 Cl 3.09
Hg11 0.4133 0.3582 0.5805  2 Se 2.77-2.89, 1 Cl 3.09
Hg12 0.0805 0.9133 0.3582  2 Se 2.77-2.89, 1 Cl 3.09
Hg13 0.6418 0.5867 0.9195  2 Se 2.77-2.89, 1 Cl 3.09
Hg14 0.3328 0.7777 0.4195  2 Se 2.77-2.89, 1 Cl 3.09
Hg15 0.6418 0.0550 0.2223  2 Se 2.77-2.89, 1 Cl 3.09
Hg16 0.5867 0.9450 0.6672  2 Se 2.77-2.89, 1 Cl 3.09
Hg17 0.3582 0.4133 0.0805  2 Se 2.77-2.89, 1 Cl 3.09
Hg18 0.5867 0.6418 0.4195  2 Se 2.77-2.89, 1 Cl 3.09
Hg19 0.4195 0.1418 0.5867  2 Se 2.77-2.89, 1 Cl 3.09
Hg20 0.1672 0.0805 0.7223  2 Se 2.77-2.89, 1 Cl 3.09
Hg21 0.6672 0.2223 0.5805  2 Se 2.77-2.89, 1 Cl 3.09
Hg22 0.0805 0.1672 0.2223  2 Se 2.77-2.89, 1 Cl 3.09
Hg23 0.2223 0.5550 0.6418  2 Se 2.77-2.89, 1 Cl 3.09
Hg24 0.1418 0.7223 0.5550  2 Se 2.77-2.89, 1 Cl 3.09
Hg25 0.0550 0.4133 0.8328  2 Se 2.77-2.89, 1 Cl 3.09
Hg26 0.7777 0.4450 0.3582  2 Se 2.77-2.89, 1 Cl 3.09
Hg27 0.9195 0.0867 0.6418  2 Se 2.77-2.89, 1 Cl 3.09
Hg28 0.9450 0.3582 0.2777  2 Se 2.77-2.89, 1 Cl 3.09
Hg29 0.5550 0.2223 0.1418  2 Se 2.77-2.89, 1 Cl 3.09
Hg30 0.8328 0.9133 0.0550  2 Se 2.77-2.89, 1 Cl 3.09
Hg31 0.5805 0.7223 0.6672  2 Se 2.77-2.89, 1 Cl 3.09
Hg32 0.0550 0.6418 0.7223  2 Se 2.77-2.89, 1 Cl 3.09
Hg33 0.1672 0.0867 0.9450  2 Se 2.77-2.89, 1 Cl 3.09
Hg34 0.1418 0.4195 0.0867  2 Se 2.77-2.89, 1 Cl 3.09
Hg35 0.4450 0.7777 0.8582  2 Se 2.77-2.89, 1 Cl 3.09
Hg36 0.9133 0.0805 0.8582  2 Se 2.77-2.89, 1 Cl 3.09
Hg37 0.3582 0.9450 0.7777  2 Se 2.77-2.89, 1 Cl 3.09
Hg38 0.7223 0.1418 0.0550  2 Se 2.77-2.89, 1 Cl 3.09
Hg39 0.9133 0.8328 0.5550  2 Se 2.77-2.89, 1 Cl 3.09
Hg40 0.5805 0.8582 0.4133  2 Se 2.77-2.89, 1 Cl 3.09
Hg41 0.7223 0.5805 0.1672  2 Se 2.77-2.89, 1 Cl 3.09
Hg42 0.0867 0.9195 0.1418  2 Se 2.77-2.89, 1 Cl 3.09
Hg43 0.4450 0.6672 0.0867  2 Se 2.77-2.89, 1 Cl 3.09
Hg44 0.3328 0.5550 0.4133  2 Se 2.77-2.89, 1 Cl 3.09
Hg45 0.6672 0.4450 0.5867  2 Se 2.77-2.89, 1 Cl 3.09
Hg46 0.9450 0.5867 0.1672  2 Se 2.77-2.89, 1 Cl 3.09
Hg47 0.8582 0.2777 0.4450  2 Se 2.77-2.89, 1 Cl 3.09
Hg48 0.4195 0.2777 0.3328  2 Se 2.77-2.89, 1 Cl 3.09
Se1 0.7500 0.1250 0.8750  4 Hg 2.77
Se2 0.0000 0.5000 0.5000  6 Hg 2.89
Se3 0.5000 0.5000 0.5000  6 Hg 2.89
Se4 0.2500 0.8750 0.1250  4 Hg 2.77
Se5 0.5000 0.0000 0.5000  6 Hg 2.89
Se6 0.0000 0.0000 0.0000  6 Hg 2.89
Se7 0.3750 0.2500 0.1250  4 Hg 2.77
Se8 0.0000 0.5000 0.0000  6 Hg 2.89
Se9 0.8750 0.6250 0.7500  4 Hg 2.77
Se10 0.5000 0.0000 0.0000  6 Hg 2.89
Se11 0.1250 0.3750 0.2500  4 Hg 2.77
Se12 0.7500 0.6250 0.3750  4 Hg 2.77
Se13 0.1250 0.7500 0.3750  4 Hg 2.77
Se14 0.3750 0.1250 0.7500  4 Hg 2.77
Se15 0.0000 0.0000 0.5000  6 Hg 2.89
Se16 0.8750 0.2500 0.6250  4 Hg 2.77
Se17 0.6250 0.7500 0.8750  4 Hg 2.77
Se18 0.2500 0.3750 0.6250  4 Hg 2.77
Se19 0.6250 0.8750 0.2500  4 Hg 2.77
Se20 0.5000 0.5000 0.0000  6 Hg 2.89
Cl1 0.3750 0.7500 0.6250  8 Hg 3.09-3.16
Cl2 0.2500 0.6250 0.8750  8 Hg 3.09-3.16
Cl3 0.7500 0.3750 0.1250  8 Hg 3.09-3.16
Cl4 0.3750 0.6250 0.2500  8 Hg 3.09-3.16
Cl5 0.8750 0.7500 0.1250  8 Hg 3.09-3.16
Cl6 0.1250 0.2500 0.8750  8 Hg 3.09-3.16
Cl7 0.6250 0.3750 0.7500  8 Hg 3.09-3.16
Cl8 0.2500 0.1250 0.3750  8 Hg 3.09-3.16
Cl9 0.1250 0.8750 0.7500  8 Hg 3.09-3.16
Cl10 0.7500 0.8750 0.6250  8 Hg 3.09-3.16
Cl11 0.6250 0.2500 0.3750  8 Hg 3.09-3.16
Cl12 0.8750 0.1250 0.2500  8 Hg 3.09-3.16

Calculated values
* formation energy (no corrections): -0.02 eV/atom
* total magnetization: 0.00 μB per formula unit
* space group: Ia-3d

Entry 5:
Below is a relaxed structure of Hg2SeCl, with properties calculated at the PBE level.

Cell lengths 7.4571, 7.4571, 7.4571 Å; angles 150.07, 148.92, 43.69 degrees
Last column: nearest neighbours and their distance in Å.
Sites, in units of the cell vectors:
Hg1 0.9867 0.9867 0.0000  4 Se 2.86
Hg2 0.6963 0.1963 0.5000  2 Se 2.94, 4 Cl 3.01
Se1 0.5362 0.5362 0.0000  6 Hg 2.86-2.94
Cl1 0.2809 0.7809 0.5000  4 Hg 3.01

Calculated values
* formation energy (no corrections): -0.10 eV/atom
* total magnetization: 0.00 μB per formula unit
* space group: Imm2
* polymorph energy (0 for the lowest one): 136 meV per atom

Entry 6:
Below is a relaxed structure of HgSe2Cl, with properties calculated at the PBE level.

Cell lengths 3.9987, 3.9987, 6.3433 Å; angles 90.00, 90.00, 90.00 degrees
Last column: nearest neighbours and their distance in Å.
Sites, in units of the cell vectors:
Se1 0.0000 0.0000 0.5627  1 Se 2.38
Se2 0.0000 0.0000 0.9373  1 Se 2.38
Cl1 0.5000 0.5000 0.2500  2 Hg 3.17, 8 Se 3.45
Hg1 0.5000 0.5000 0.7500  8 Se 3.07, 2 Cl 3.17

Calculated values
* formation energy (no corrections): 0.26 eV/atom
* total magnetization: 0.47 μB per formula unit
* space group: P4/mmm
* polymorph energy (0 for the lowest one): 413 meV per atom

Entry 7:
Below is a relaxed structure of Hg2SeCl, with properties calculated at the PBE level.

Cell lengths 5.0896, 5.0896, 5.0896 Å; angles 60.00, 60.00, 60.00 degrees
Last column: nearest neighbours and their distance in Å.
Sites, in units of the cell vectors:
Cl1 0.0000 0.0000 0.0000  8 Hg 3.12
Se1 0.5000 0.5000 0.5000  8 Hg 3.12
Hg1 0.2500 0.2500 0.2500  4 Cl 3.12, 4 Se 3.12
Hg2 0.7500 0.7500 0.7500  4 Se 3.12, 4 Cl 3.12

Calculated values
* formation energy (no corrections): 0.04 eV/atom
* total magnetization: 0.00 μB per formula unit
* space group: Fm-3m
* polymorph energy (0 for the lowest one): 282 meV per atom

Entry 8:
Below is a relaxed structure of Hg2SeCl, with properties calculated at the PBE level.

Cell lengths 3.9483, 4.3762, 6.9637 Å; angles 94.28, 90.00, 90.00 degrees
Last column: nearest neighbours and their distance in Å.
Sites, in units of the cell vectors:
Hg1 0.0000 0.9706 0.0275  2 Se 2.74, 2 Cl 2.88
Hg2 0.0000 0.5294 0.4725  2 Se 2.74, 2 Cl 2.88
Se1 0.5000 0.2500 0.2500  4 Hg 2.74
Cl1 0.5000 0.7500 0.7500  4 Hg 2.88

Calculated values
* formation energy (no corrections): -0.12 eV/atom
* total magnetization: 0.00 μB per formula unit
* space group: P2/m
* polymorph energy (0 for the lowest one): 117 meV per atom

Entry 9:
Below is a relaxed structure of HgSe2Cl, with properties calculated at the PBE level.

Cell lengths 5.6273, 5.6273, 8.5191 Å; angles 70.71, 70.71, 90.00 degrees
Last column: nearest neighbours and their distance in Å.
Sites, in units of the cell vectors:
Cl1 0.2500 0.7500 0.5000  4 Se 2.71
Cl2 0.5000 0.5000 0.0000  4 Se 2.71
Se1 0.3750 0.3868 0.7500  2 Cl 2.71, 2 Hg 2.77
Se2 0.1368 0.6250 0.2500  2 Cl 2.71, 2 Hg 2.77
Se3 0.6132 0.1250 0.2500  2 Cl 2.71, 2 Hg 2.77
Se4 0.8750 0.8632 0.7500  2 Cl 2.71, 2 Hg 2.77
Hg1 0.7500 0.2500 0.5000  4 Se 2.77
Hg2 0.0000 0.0000 0.0000  4 Se 2.77

Calculated values
* formation energy (no corrections): 0.35 eV/atom
* total magnetization: 0.00 μB per formula unit
* space group: I-42d
* polymorph energy (0 for the lowest one): 499 meV per atom

Entry 10:
Below is a relaxed structure of HgSe2Cl, with properties calculated at the PBE level.

Cell lengths 4.2383, 4.2383, 7.5668 Å; angles 90.00, 90.00, 123.93 degrees
Last column: nearest neighbours and their distance in Å.
Sites, in units of the cell vectors:
Cl1 0.5000 0.5000 0.2500  4 Se 2.91
Hg1 0.5000 0.5000 0.7500  4 Se 2.59
Se1 0.0000 0.0000 0.9689  2 Hg 2.59
Se2 0.0000 0.0000 0.5311  2 Hg 2.59

Calculated values
* formation energy (no corrections): 0.20 eV/atom
* total magnetization: 0.00 μB per formula unit
* space group: Cmmm
* polymorph energy (0 for the lowest one): 350 meV per atom

Which value of total magnetization does entry 4 give? 0.00 μB per formula unit

What is the total magnetization in the third record? 0.00 μB per formula unit

What is the formula in the second record? HgSe2Cl

Which of these has the lowest formation energy (no corrections)? number 8